Record 1
Compound: ReMoIr2
Source: the Alexandria database
Functional: GGA-PBE
Structure: optimized geometry

Unit cell a=3.347 b=3.347 c=5.469 alpha=90.00 beta=90.00 gamma=90.00
Space group P4/mmm (No. 123)
Unique sites:
Re (0.000, 0.000, 0.000) (multiplicity 1)
Mo (0.000, 0.000, 0.500) (multiplicity 1)
Ir (0.500, 0.500, 0.247) (multiplicity 2)

Summary:
Its density of states at the Fermi level is 1.550 states/eV/atom. For the volume, the calculation gives 15.32 Å³/atom. The energy is -10.04 eV/atom. Its crystal system is tetragonal.

Record 2
Compound: RbTa3Ir
Source: the Alexandria database
Functional: GGA-PBE
Structure: optimized geometry

Unit cell a=4.686 b=4.686 c=4.686 alpha=90.00 beta=90.00 gamma=90.00
Space group Pm-3m (No. 221)
Unique sites:
Rb (0.000, 0.000, 0.000) (multiplicity 1)
Ta (0.000, 0.000, 0.500) (multiplicity 3)
Ir (0.500, 0.500, 0.500) (multiplicity 1)

Summary:
Its density of states at the Fermi level is 1.397 states/eV/atom. For the volume, the calculation gives 20.58 Å³/atom. The energy is -5.83 eV/atom. Its crystal system is cubic.

Record 3
Compound: Tb6Ru3Rh
Source: the Alexandria database
Functional: GGA-PBE
Structure: optimized geometry

Unit cell a=7.026 b=7.157 c=11.939 alpha=90.00 beta=125.46 gamma=90.00
Space group P2_1/c (No. 14)
Unique sites:
Tb (0.064, 0.028, 0.250) (multiplicity 4)
Tb (0.243, 0.666, 0.076) (multiplicity 4)
Tb (0.409, 0.167, 0.072) (multiplicity 4)
Ru (0.299, 0.154, 0.770) (multiplicity 4)
Ru (0.500, 0.000, 0.500) (multiplicity 2)
Rh (0.000, 0.000, 0.000) (multiplicity 2)

Summary:
Its density of states at the Fermi level is 0.621 states/eV/atom. For the volume, the calculation gives 24.45 Å³/atom. The energy is -6.61 eV/atom. Its crystal system is monoclinic.

Record 4
Compound: PuTlSiO4
Source: the Alexandria database
Functional: GGA-PBE
Structure: optimized geometry

Unit cell a=5.947 b=5.726 c=7.774 alpha=90.00 beta=105.53 gamma=90.00
Space group P2_1/m (No. 11)
Unique sites:
Pu (0.219, 0.250, 0.063) (multiplicity 2)
Tl (0.316, 0.250, 0.608) (multiplicity 2)
Si (0.257, 0.750, 0.852) (multiplicity 2)
O (0.077, 0.524, 0.835) (multiplicity 4)
O (0.421, 0.750, 0.714) (multiplicity 2)
O (0.441, 0.750, 0.054) (multiplicity 2)

Summary:
Its density of states at the Fermi level is 1.390 states/eV/atom. For the volume, the calculation gives 18.22 Å³/atom. Its crystal system is monoclinic. Its formation energy (no corrections) is -2348 meV per atom.

Record 5
Compound: Ag12BiSe7
Source: the Alexandria database
Functional: GGA-PBE
Structure: optimized geometry

Unit cell a=12.4127 b=12.4127 c=10.1567 alpha=90.00 beta=90.00 gamma=120.00
Space group R-3 (No. 148, hexagonal axes)
Unique sites:
Ag (0.0180, 0.2440, 0.2332) (multiplicity 18)
Ag (0.0790, 0.2400, 0.5668) (multiplicity 18)
Bi (0.0000, 0.0000, 0.0000) (multiplicity 3)
Se (0.0000, 0.0000, 0.5000) (multiplicity 3)
Se (0.0016, 0.1993, 0.8291) (multiplicity 18)

Summary:
Its density of states at the Fermi level is 0.178 states/eV/atom. For the volume, the calculation gives 22.59 Å³/atom. Its crystal system is trigonal. Its formation energy (no corrections) is -34 meV per atom.

Record 6
Compound: NaSmInGa
Source: the Alexandria database
Functional: GGA-PBE
Structure: optimized geometry

Unit cell a=7.381 b=7.381 c=7.381 alpha=90.00 beta=90.00 gamma=90.00
Space group F-43m (No. 216)
Unique sites:
Na (0.000, 0.000, 0.000) (multiplicity 4)
Sm (0.000, 0.000, 0.500) (multiplicity 4)
In (0.250, 0.250, 0.750) (multiplicity 4)
Ga (0.250, 0.250, 0.250) (multiplicity 4)

Summary:
Its density of states at the Fermi level is 0.388 states/eV/atom. For the volume, the calculation gives 25.14 Å³/atom. The energy is -3.23 eV/atom. Its crystal system is cubic.

Record 7
Compound: Ac4N
Source: the Alexandria database
Functional: GGA-PBE
Structure: optimized geometry

Unit cell a=5.530 b=5.530 c=5.530 alpha=90.00 beta=90.00 gamma=90.00
Space group Pm-3m (No. 221)
Unique sites:
Ac (0.000, 0.000, 0.000) (multiplicity 1)
Ac (0.000, 0.500, 0.500) (multiplicity 3)
N (0.500, 0.500, 0.500) (multiplicity 1)

Summary:
Its density of states at the Fermi level is 1.323 states/eV/atom. For the volume, the calculation gives 33.81 Å³/atom. Its crystal system is cubic. Its formation energy (no corrections) is -354 meV per atom.

Record 8
Compound: CoCuTc2
Source: the Alexandria database
Functional: GGA-PBE
Structure: optimized geometry

Unit cell a=5.199 b=7.712 c=2.572 alpha=90.00 beta=90.00 gamma=90.00
Space group Cmmm (No. 65)
Unique sites:
Co (0.000, 0.000, 0.000) (multiplicity 2)
Cu (0.000, 0.500, 0.000) (multiplicity 2)
Tc (0.250, 0.250, 0.500) (multiplicity 4)

Summary:
Its density of states at the Fermi level is 0.994 states/eV/atom. For the volume, the calculation gives 12.89 Å³/atom. The energy is -7.78 eV/atom. Its crystal system is orthorhombic.

Record 9
Compound: HoLuBeGa
Source: the Alexandria database
Functional: GGA-PBE
Structure: optimized geometry

Unit cell a=6.889 b=6.889 c=6.889 alpha=90.00 beta=90.00 gamma=90.00
Space group F-43m (No. 216)
Unique sites:
Ho (0.000, 0.000, 0.000) (multiplicity 4)
Lu (0.000, 0.000, 0.500) (multiplicity 4)
Be (0.250, 0.250, 0.750) (multiplicity 4)
Ga (0.250, 0.250, 0.250) (multiplicity 4)

Summary:
Its density of states at the Fermi level is 0.751 states/eV/atom. For the volume, the calculation gives 20.43 Å³/atom. The energy is -4.21 eV/atom. Its crystal system is cubic.

Record 10
Compound: BaPrSn2S6
Source: the Alexandria database
Functional: GGA-PBE
Structure: optimized geometry

Unit cell a=4.059 b=20.323 c=12.098 alpha=90.00 beta=90.00 gamma=90.00
Space group Pmc2_1 (No. 26)
Unique sites:
Ba (0.000, 0.079, 0.000) (multiplicity 2)
Ba (0.000, 0.364, 0.562) (multiplicity 2)
Pr (0.000, 0.122, 0.635) (multiplicity 2)
Pr (0.000, 0.420, 0.940) (multiplicity 2)
Sn (0.000, 0.252, 0.222) (multiplicity 2)
Sn (0.500, 0.090, 0.325) (multiplicity 2)
Sn (0.500, 0.250, 0.814) (multiplicity 2)
Sn (0.500, 0.424, 0.265) (multiplicity 2)
S (0.000, 0.014, 0.260) (multiplicity 2)
S (0.000, 0.165, 0.397) (multiplicity 2)
S (0.000, 0.261, 0.935) (multiplicity 2)
S (0.000, 0.493, 0.219) (multiplicity 2)
S (0.500, 0.043, 0.522) (multiplicity 2)
S (0.500, 0.123, 0.813) (multiplicity 2)
S (0.500, 0.159, 0.152) (multiplicity 2)
S (0.500, 0.232, 0.612) (multiplicity 2)
S (0.500, 0.318, 0.364) (multiplicity 2)
S (0.500, 0.363, 0.084) (multiplicity 2)
S (0.500, 0.373, 0.777) (multiplicity 2)
S (0.500, 0.476, 0.461) (multiplicity 2)

Summary:
Its density of states at the Fermi level is 0.018 states/eV/atom. For the volume, the calculation gives 24.95 Å³/atom. Its crystal system is orthorhombic. Its formation energy (no corrections) is -1181 meV per atom.

Record 11
Compound: Pu8P3S5
Source: the Alexandria database
Functional: GGA-PBE
Structure: optimized geometry

Unit cell a=7.9820 b=7.9820 c=19.5192 alpha=90.00 beta=90.00 gamma=120.00
Space group R-3m (No. 166, hexagonal axes)
Unique sites:
Pu (0.0000, 0.0000, 0.2504) (multiplicity 6)
Pu (0.0008, 0.5004, 0.2504) (multiplicity 18)
P (0.0000, 0.5000, 0.0000) (multiplicity 9)
S (0.0000, 0.0000, 0.0000) (multiplicity 3)
S (0.0000, 0.0000, 0.5000) (multiplicity 3)
S (0.0000, 0.5000, 0.5000) (multiplicity 9)

Summary:
Its density of states at the Fermi level is 4.321 states/eV/atom. For the volume, the calculation gives 22.44 Å³/atom. Its crystal system is trigonal. Its formation energy (no corrections) is -1554 meV per atom.

Record 12
Compound: AlIn3Pb
Source: the Alexandria database
Functional: GGA-PBE
Structure: optimized geometry

Unit cell a=5.352 b=5.352 c=5.352 alpha=90.00 beta=90.00 gamma=90.00
Space group Pm-3m (No. 221)
Unique sites:
Al (0.000, 0.000, 0.000) (multiplicity 1)
In (0.000, 0.000, 0.500) (multiplicity 3)
Pb (0.500, 0.500, 0.500) (multiplicity 1)

Summary:
Its density of states at the Fermi level is 0.588 states/eV/atom. For the volume, the calculation gives 30.67 Å³/atom. The energy is -2.82 eV/atom. Its crystal system is cubic.

Record 13
Compound: SrTbRe2O8
Source: the Alexandria database
Functional: GGA-PBE
Structure: optimized geometry

Unit cell a=5.9520 b=5.9520 c=7.1738 alpha=90.00 beta=90.00 gamma=120.00
Space group P-3m1 (No. 164)
Unique sites:
Sr (0.0000, 0.0000, 0.0000) (multiplicity 1)
Tb (0.0000, 0.0000, 0.5000) (multiplicity 1)
Re (0.3333, 0.6667, 0.7913) (multiplicity 2)
O (0.1632, 0.3264, 0.7122) (multiplicity 6)
O (0.3333, 0.6667, 0.0404) (multiplicity 2)

Summary:
Its density of states at the Fermi level is 0.654 states/eV/atom. For the volume, the calculation gives 18.34 Å³/atom. Its crystal system is trigonal. Its formation energy (no corrections) is -2066 meV per atom.

Record 14
Compound: KCa3Ga
Source: the Alexandria database
Functional: GGA-PBE
Structure: optimized geometry

Unit cell a=6.354 b=6.354 c=6.354 alpha=90.00 beta=90.00 gamma=90.00
Space group Pm-3m (No. 221)
Unique sites:
K (0.000, 0.000, 0.000) (multiplicity 1)
Ca (0.000, 0.000, 0.500) (multiplicity 3)
Ga (0.500, 0.500, 0.500) (multiplicity 1)

Summary:
Its density of states at the Fermi level is 2.268 states/eV/atom. For the volume, the calculation gives 51.32 Å³/atom. The energy is -1.05 eV/atom. Its crystal system is cubic.

Record 15
Compound: Sr2NdUS6
Source: the Alexandria database
Functional: GGA-PBE
Structure: optimized geometry

Unit cell a=7.020 b=7.519 c=12.396 alpha=90.00 beta=124.27 gamma=90.00
Space group P2_1/c (No. 14)
Unique sites:
Sr (0.222, 0.080, 0.250) (multiplicity 4)
Nd (0.500, 0.000, 0.000) (multiplicity 2)
U (0.000, 0.000, 0.500) (multiplicity 2)
S (0.113, 0.205, 0.934) (multiplicity 4)
S (0.238, 0.686, 0.938) (multiplicity 4)
S (0.361, 0.042, 0.740) (multiplicity 4)

Summary:
Its density of states at the Fermi level is 0.050 states/eV/atom. For the volume, the calculation gives 27.03 Å³/atom. Its crystal system is monoclinic. Its formation energy (no corrections) is -1825 meV per atom.

Record 16
Compound: CaIrO3
Source: the Alexandria database
Functional: GGA-PBE
Structure: optimized geometry

Unit cell a=2.794 b=10.839 c=7.394 alpha=90.00 beta=90.00 gamma=90.00
Space group Cmcm (No. 63)
Unique sites:
Ca (0.000, 0.246, 0.250) (multiplicity 4)
Ir (0.000, 0.000, 0.000) (multiplicity 4)
O (0.000, 0.357, 0.539) (multiplicity 8)
O (0.000, 0.465, 0.250) (multiplicity 4)

Summary:
Its density of states at the Fermi level is 0.463 states/eV/atom. For the volume, the calculation gives 11.19 Å³/atom. Its crystal system is orthorhombic. Its formation energy (no corrections) is -1069 meV per atom.

Record 17
Compound: BeAl2Cu
Source: the Alexandria database
Functional: GGA-PBE
Structure: optimized geometry

Unit cell a=2.608 b=4.257 c=9.638 alpha=90.00 beta=90.00 gamma=90.00
Space group Imm2 (No. 44)
Unique sites:
Be (0.000, 0.000, 0.000) (multiplicity 2)
Al (0.000, 0.000, 0.533) (multiplicity 2)
Al (0.000, 0.500, 0.739) (multiplicity 2)
Cu (0.000, 0.500, 0.297) (multiplicity 2)

Summary:
Its density of states at the Fermi level is 0.247 states/eV/atom. For the volume, the calculation gives 13.37 Å³/atom. The energy is -3.77 eV/atom. Its crystal system is orthorhombic.

Record 18
Compound: Cs2Cu2Se2S
Source: the Alexandria database
Functional: GGA-PBE
Structure: optimized geometry

Unit cell a=13.150 b=4.241 c=8.012 alpha=90.00 beta=104.25 gamma=90.00
Space group C2/m (No. 12)
Unique sites:
Cs (0.106, 0.000, 0.312) (multiplicity 4)
Cu (0.158, 0.500, 0.939) (multiplicity 4)
Se (0.189, 0.000, 0.803) (multiplicity 4)
S (0.000, 0.500, 0.000) (multiplicity 2)

Summary:
Its density of states at the Fermi level is 1.293 states/eV/atom. For the volume, the calculation gives 30.93 Å³/atom. Its crystal system is monoclinic. Its formation energy (no corrections) is -567 meV per atom.

Record 19
Compound: Mg3ScCo
Source: the Alexandria database
Functional: GGA-PBE
Structure: optimized geometry

Unit cell a=5.487 b=5.487 c=5.487 alpha=90.00 beta=90.00 gamma=90.00
Space group Pm-3m (No. 221)
Unique sites:
Mg (0.000, 0.000, 0.500) (multiplicity 3)
Sc (0.000, 0.000, 0.000) (multiplicity 1)
Co (0.500, 0.500, 0.500) (multiplicity 1)

Summary:
Its density of states at the Fermi level is 3.934 states/eV/atom. For the volume, the calculation gives 33.04 Å³/atom. The energy is -2.06 eV/atom. Its crystal system is cubic.

Record 20
Compound: CaPm2CdN
Source: the Alexandria database
Functional: GGA-PBE
Structure: optimized geometry

Unit cell a=5.001 b=5.001 c=4.928 alpha=90.00 beta=90.00 gamma=90.00
Space group P4/mmm (No. 123)
Unique sites:
Ca (0.000, 0.000, 0.000) (multiplicity 1)
Pm (0.000, 0.500, 0.500) (multiplicity 2)
Cd (0.500, 0.500, 0.000) (multiplicity 1)
N (0.000, 0.000, 0.500) (multiplicity 1)

Summary:
Its density of states at the Fermi level is 1.004 states/eV/atom. For the volume, the calculation gives 24.65 Å³/atom. Its crystal system is tetragonal. Its formation energy (no corrections) is -676 meV per atom.

Record 21
Compound: ReSbO2F
Source: the Alexandria database
Functional: GGA-PBE
Structure: optimized geometry

Unit cell a=4.269 b=4.269 c=4.407 alpha=90.00 beta=90.00 gamma=90.00
Space group P4/mmm (No. 123)
Unique sites:
Re (0.000, 0.000, 0.000) (multiplicity 1)
Sb (0.500, 0.500, 0.500) (multiplicity 1)
O (0.000, 0.500, 0.500) (multiplicity 2)
F (0.500, 0.500, 0.000) (multiplicity 1)

Summary:
Its density of states at the Fermi level is 0.433 states/eV/atom. For the volume, the calculation gives 16.06 Å³/atom. Its crystal system is tetragonal. Its formation energy (no corrections) is 142 meV per atom.

Record 22
Compound: Ca2RhCl
Source: the Alexandria database
Functional: GGA-PBE
Structure: optimized geometry

Unit cell a=7.109 b=7.109 c=7.109 alpha=90.00 beta=90.00 gamma=90.00
Space group F-43m (No. 216)
Unique sites:
Ca (0.000, 0.000, 0.000) (multiplicity 4)
Ca (0.250, 0.250, 0.250) (multiplicity 4)
Rh (0.250, 0.250, 0.750) (multiplicity 4)
Cl (0.000, 0.000, 0.500) (multiplicity 4)

Summary:
Its density of states at the Fermi level is 0.240 states/eV/atom. For the volume, the calculation gives 22.46 Å³/atom. Its crystal system is cubic. Its formation energy (no corrections) is -177 meV per atom.